A plane-wave DFT calculation with PBE was carried out for a relaxed RbPmRu2O8 crystal.

Its energy relative to the elements, uncorrected is -17.638 eV/f.u. The total moment is 4.03 μB per formula unit.

The space group is P-3 (No. 147) and the conventional cell measures 6.0493, 6.0493 and 8.1246 Å, with angles of 90.00, 90.00 and 120.00 degrees. The distinct sites, in fractional coordinates, are Rb at (0.0000, 0.0000, 0.0000), Pm at (0.0000, 0.0000, 0.5000), Ru at (0.3333, 0.6667, 0.7581), O at (0.1645, 0.3432, 0.6814) and O at (0.3333, 0.6667, 0.9735).